CaPbW2 | Alexandria | PBE | optimized geometry; energy relative to the elements = 656 meV/atom; space-group type = Cm
1.0
8.572 0.000 0.000
0.000 3.176 0.000
-0.945 0.000 6.895
Ca Pb W
2 2 4
Cartesian
0.000 0.000 0.000
4.286 1.588 0.000
1.896 1.588 2.207
6.182 0.000 2.207
-0.501 1.588 3.921
1.333 0.000 4.852
3.785 0.000 3.921
5.619 1.588 4.852


Hf2CrP | Alexandria | PBE | optimized geometry; energy relative to the elements = 150 meV/atom; space-group type = R-3m
1.0
3.397 0.000 0.000
-1.698 2.941 0.000
0.000 0.000 25.440
Hf Cr P
6 3 3
Cartesian
0.000 0.000 2.666
0.000 0.000 22.774
0.000 1.961 14.294
0.000 1.961 19.626
1.698 0.980 5.814
1.698 0.980 11.146
0.000 0.000 0.000
0.000 1.961 16.960
1.698 0.980 8.480
0.000 0.000 12.720
0.000 1.961 4.240
1.698 0.980 21.200


AgAsN2O | Alexandria | PBE | optimized geometry; space-group type = P4/mmm; formation energy without anion corrections = 1.870 eV/atom
1.0
4.063 0.000 0.000
0.000 4.063 0.000
0.000 0.000 4.041
Ag As N O
1 1 2 1
Cartesian
0.000 0.000 0.000
2.032 2.032 2.020
0.000 2.032 0.000
2.032 0.000 0.000
0.000 0.000 2.020


Li2CaCe2Sn2 | Alexandria | PBE | optimized geometry; energy relative to the elements = -414 meV/atom; space-group type = R-3m
1.0
2.351 1.357 9.229
-2.351 1.357 9.229
0.000 -2.714 9.229
Li Ca Ce Sn
2 1 2 2
Cartesian
0.000 0.000 2.509
0.000 0.000 25.178
0.000 0.000 13.844
0.000 0.000 9.901
0.000 0.000 17.786
0.000 0.000 6.614
0.000 0.000 21.074


Li3HPt | Alexandria | PBE | optimized geometry; offset from the most stable computed form = 0.000 eV/atom; space-group type = Cmcm
1.0
2.709 -4.006 0.000
2.709 4.006 0.000
0.000 0.000 5.393
Li H Pt
6 2 2
Cartesian
2.709 2.041 4.045
1.390 0.000 0.000
1.390 0.000 2.696
4.029 0.000 0.000
4.029 0.000 2.696
2.709 -2.041 1.348
2.709 3.735 1.348
2.709 -3.735 4.045
2.709 1.999 1.348
2.709 -1.999 4.045


SrAcCo | Alexandria | PBE | optimized geometry; offset from the most stable computed form = 0.138 eV/atom; energy relative to the elements = 147 meV/atom; space-group type = P2_1/m
1.0
7.141 0.000 0.000
0.000 4.194 0.000
-2.663 0.000 7.002
Sr Ac Co
2 2 2
Cartesian
-0.964 1.049 7.000
5.442 3.146 0.002
0.291 3.146 3.494
4.187 1.049 3.508
-0.628 1.049 1.916
5.106 3.146 5.087


Number 1: theoretical density 10879 kg/m3. Number 2: theoretical density 8623 kg/m3. Number 3: theoretical density 5645 kg/m3. Number 4: theoretical density 5373 kg/m3. Number 5: theoretical density 6154 kg/m3. Number 6: theoretical density 5915 kg/m3.